# Cs2TlSi (PBE, optimized geometry)
data_Cs2TlSi
_chemical_formula_sum 'Cs8 Tl4 Si4'
_cell_length_a 5.248
_cell_length_b 5.248
_cell_length_c 25.453
_cell_angle_alpha 90.00
_cell_angle_beta 90.00
_cell_angle_gamma 90.00
_symmetry_space_group_name_H-M 'I -4 2 d'
_symmetry_Int_Tables_number 122
_symmetry_space_group_name_Hall 'I -4 2bw'
loop_
_atom_site_label
_atom_site_type_symbol
_atom_site_fract_x
_atom_site_fract_y
_atom_site_fract_z
Cs1 Cs 0.248 0.250 0.125
Tl1 Tl 0.000 0.000 0.500
Si1 Si 0.000 0.000 0.000
# - E above lowest polymorph: 197 meV/atom

# Ca2HfTiN4 (PBE, optimized geometry)
data_Ca2HfTiN4
_chemical_formula_sum 'Ca2 Hf1 Ti1 N4'
_cell_length_a 5.569
_cell_length_b 3.225
_cell_length_c 5.848
_cell_angle_alpha 90.00
_cell_angle_beta 108.49
_cell_angle_gamma 90.00
_symmetry_space_group_name_H-M 'P 1 2/m 1'
_symmetry_Int_Tables_number 10
loop_
_symmetry_equiv_pos_as_xyz
'x,y,z'
'-x,-y,-z'
'-x,y,-z'
'x,-y,z'
loop_
_atom_site_label
_atom_site_type_symbol
_atom_site_fract_x
_atom_site_fract_y
_atom_site_fract_z
Ca1 Ca 0.000 0.000 0.000
Ca2 Ca 0.500 0.500 0.000
Hf1 Hf 0.000 0.500 0.500
Ti1 Ti 0.500 0.000 0.500
N1 N 0.243 0.000 0.711
N2 N 0.270 0.500 0.292
# - Calculated total energy: -8.36 eV per atom

# BeCuAu3 (PBE, optimized geometry)
data_BeCuAu3
_chemical_formula_sum 'Be1 Cu1 Au3'
_cell_length_a 4.732
_cell_length_b 4.732
_cell_length_c 4.732
_cell_angle_alpha 90.00
_cell_angle_beta 90.00
_cell_angle_gamma 90.00
_symmetry_space_group_name_H-M 'P m -3 m'
_symmetry_Int_Tables_number 221
_symmetry_space_group_name_Hall '-P 4 2 3'
loop_
_atom_site_label
_atom_site_type_symbol
_atom_site_fract_x
_atom_site_fract_y
_atom_site_fract_z
Be1 Be 0.000 0.000 0.000
Cu1 Cu 0.500 0.500 0.500
Au1 Au 0.000 0.500 0.500
# - E above lowest polymorph: 996 meV/atom
# - Energy of formation from the pure elements: 0.9300 eV per atom

# Ca2IrOs (PBE, optimized geometry)
data_Ca2IrOs
_chemical_formula_sum 'Ca4 Ir2 Os2'
_cell_length_a 5.965
_cell_length_b 9.268
_cell_length_c 2.918
_cell_angle_alpha 90.00
_cell_angle_beta 111.31
_cell_angle_gamma 90.00
_symmetry_space_group_name_H-M 'C 1 2/m 1'
_symmetry_Int_Tables_number 12
loop_
_symmetry_equiv_pos_as_xyz
'x,y,z'
'-x,-y,-z'
'-x,y,-z'
'x,-y,z'
'x+1/2,y+1/2,z'
'-x+1/2,-y+1/2,-z'
'-x+1/2,y+1/2,-z'
'x+1/2,-y+1/2,z'
loop_
_atom_site_label
_atom_site_type_symbol
_atom_site_fract_x
_atom_site_fract_y
_atom_site_fract_z
Ca1 Ca 0.250 0.250 0.000
Ir1 Ir 0.000 0.000 0.500
Os1 Os 0.000 0.500 0.500
# - E above lowest polymorph: 430 meV/atom
# - Energy of formation from the pure elements: 0.4252 eV per atom

# Nb5AgS8 (PBE, optimized geometry)
data_Nb5AgS8
_chemical_formula_sum 'Nb20 Ag4 S32'
_cell_length_a 10.507
_cell_length_b 10.507
_cell_length_c 10.507
_cell_angle_alpha 90.00
_cell_angle_beta 90.00
_cell_angle_gamma 90.00
_symmetry_space_group_name_H-M 'F -4 3 m'
_symmetry_Int_Tables_number 216
_symmetry_space_group_name_Hall 'F -4 2 3'
loop_
_atom_site_label
_atom_site_type_symbol
_atom_site_fract_x
_atom_site_fract_y
_atom_site_fract_z
Nb1 Nb 0.000 0.000 0.000
Nb2 Nb 0.105 0.105 0.395
Ag1 Ag 0.250 0.250 0.750
S1 S 0.121 0.121 0.621
S2 S 0.134 0.134 0.134
# - Calculated total energy: -6.90 eV per atom

# K2AlAsS4 (PBE, optimized geometry)
data_K2AlAsS4
_chemical_formula_sum 'K16 Al8 As8 S32'
_cell_length_a 6.140
_cell_length_b 13.740
_cell_length_c 22.370
_cell_angle_alpha 90.00
_cell_angle_beta 90.00
_cell_angle_gamma 90.00
_symmetry_space_group_name_H-M 'F d d d'
_symmetry_Int_Tables_number 70
loop_
_symmetry_equiv_pos_as_xyz
'x,y,z'
'-x,-y,-z'
'-x+1/4,-y+1/4,z'
'x+1/4,y+1/4,-z'
'x,-y+1/4,-z+1/4'
'-x,y+1/4,z+1/4'
'-x+1/4,y,-z+1/4'
'x+1/4,-y,z+1/4'
'x,y+1/2,z+1/2'
'-x,-y+1/2,-z+1/2'
'-x+1/4,-y+3/4,z+1/2'
'x+1/4,y+3/4,-z+1/2'
'x,-y+3/4,-z+3/4'
'-x,y+3/4,z+3/4'
'-x+1/4,y+1/2,-z+3/4'
'x+1/4,-y+1/2,z+3/4'
'x+1/2,y,z+1/2'
'-x+1/2,-y,-z+1/2'
'-x+3/4,-y+1/4,z+1/2'
'x+3/4,y+1/4,-z+1/2'
'x+1/2,-y+1/4,-z+3/4'
'-x+1/2,y+1/4,z+3/4'
'-x+3/4,y,-z+3/4'
'x+3/4,-y,z+3/4'
'x+1/2,y+1/2,z'
'-x+1/2,-y+1/2,-z'
'-x+3/4,-y+3/4,z'
'x+3/4,y+3/4,-z'
'x+1/2,-y+3/4,-z+1/4'
'-x+1/2,y+3/4,z+1/4'
'-x+3/4,y+1/2,-z+1/4'
'x+3/4,-y+1/2,z+1/4'
loop_
_atom_site_label
_atom_site_type_symbol
_atom_site_fract_x
_atom_site_fract_y
_atom_site_fract_z
K1 K 0.125 0.125 0.305
Al1 Al 0.125 0.125 0.125
As1 As 0.125 0.125 0.625
S1 S 0.097 0.278 0.429
# - Calculated total energy: -4.25 eV per atom

# TmNpF6 (PBE, optimized geometry)
data_TmNpF6
_chemical_formula_sum 'Tm3 Np3 F18'
_cell_length_a 5.8872
_cell_length_b 5.8872
_cell_length_c 15.9456
_cell_angle_alpha 90.00
_cell_angle_beta 90.00
_cell_angle_gamma 120.00
_symmetry_space_group_name_H-M 'R -3'
_symmetry_Int_Tables_number 148
_symmetry_space_group_name_Hall '-R 3'
loop_
_atom_site_label
_atom_site_type_symbol
_atom_site_fract_x
_atom_site_fract_y
_atom_site_fract_z
Tm1 Tm 0.0000 0.0000 0.0000
Np1 Np 0.0000 0.0000 0.5000
F1 F 0.0118 0.4136 0.7467
# - E above lowest polymorph: 0 meV/atom

# TlCd2SbO6 (PBE, optimized geometry)
data_TlCd2SbO6
_chemical_formula_sum 'Tl3 Cd6 Sb3 O18'
_cell_length_a 5.6994
_cell_length_b 5.6994
_cell_length_c 14.6604
_cell_angle_alpha 90.00
_cell_angle_beta 90.00
_cell_angle_gamma 120.00
_symmetry_space_group_name_H-M 'R 3'
_symmetry_Int_Tables_number 146
_symmetry_space_group_name_Hall 'R 3'
loop_
_atom_site_label
_atom_site_type_symbol
_atom_site_fract_x
_atom_site_fract_y
_atom_site_fract_z
Tl1 Tl 0.0000 0.0000 0.0000
Cd1 Cd 0.0000 0.0000 0.2235
Cd2 Cd 0.0000 0.0000 0.7319
Sb1 Sb 0.0000 0.0000 0.5102
O1 O 0.0176 0.7320 0.6002
O2 O 0.0514 0.3404 0.1084
# - Calculated total energy: -4.91 eV per atom

| no. | D(E_F) (states/eV/f.u.) | volume (Å³ per cell) |
| --- | --- | --- |
| 1 | 3.45 | 700.9 |
| 2 | 0.13 | 99.6 |
| 3 | 2.00 | 106.0 |
| 4 | 2.75 | 150.3 |
| 5 | 14.42 | 1160.0 |
| 6 | 0.00 | 1887.2 |
| 7 | 2.59 | 478.8 |
| 8 | 5.23 | 412.4 |